1.
Below is an optimized crystal structure of LuSc3Zn4, with properties calculated at the PBE-GGA level.

Cell: 6.0938 6.0938 6.0938 Å, 106.01 106.01 116.65°
Atoms (fractional coordinates):
Lu: 0.0000 0.0000 0.0000
Sc: 0.5000 0.5000 0.0000
Sc: 0.7500 0.2500 0.5000
Sc: 0.2500 0.7500 0.5000
Zn: 0.8885 0.4007 0.0000
Zn: 0.4007 0.8885 0.0000
Zn: 0.5993 0.5993 0.4878
Zn: 0.1115 0.1115 0.5122

SG	I-42m (121)
crystal system	tetragonal
calculated formation energy	0.0674	eV per atom

2.
Below is an optimized crystal structure of CsAgO, with properties calculated at the PBE-GGA level.

Cell: 6.1276 6.1276 5.5131 Å, 90.00 90.00 122.40°
Atoms (fractional coordinates):
Ag: 0.0000 0.0000 0.0000
Ag: 0.0000 0.0000 0.5000
Cs: 0.3122 0.6878 0.2500
Cs: 0.6878 0.3122 0.7500
O: 0.8557 0.1443 0.2500
O: 0.1443 0.8557 0.7500

SG	Cmcm (63)
crystal system	orthorhombic
total energy	-3.6270	eV/atom

3.
Below is an optimized crystal structure of LiAg, with properties calculated at the PBE-GGA level.

Cell: 3.7003 3.7003 3.7003 Å, 60.00 60.00 60.00°
Atoms (fractional coordinates):
Ag: 0.0000 0.0000 0.0000
Li: 0.5000 0.5000 0.5000

SG	Fm-3m (225)
crystal system	cubic
total energy	-2.3389	eV/atom

4.
Below is an optimized crystal structure of Ho2Ga2IBr, with properties calculated at the PBE-GGA level.

Cell: 4.1515 4.1515 11.9390 Å, 90.00 90.00 120.00°
Atoms (fractional coordinates):
Br: 0.0000 0.0000 0.1804
Ga: 0.3333 0.6667 0.4676
Ga: 0.0000 0.0000 0.5266
Ho: 0.6667 0.3333 0.3272
Ho: 0.6667 0.3333 0.6652
I: 0.3333 0.6667 0.8330

SG	P3m1 (156)
crystal system	trigonal
total energy	-4.1774	eV/atom

5.
Below is an optimized crystal structure of ErTmSi2Pd, with properties calculated at the PBE-GGA level.

Cell: 5.6015 5.6015 10.0010 Å, 115.63 115.63 44.31°
Atoms (fractional coordinates):
Er: 0.8142 0.8142 0.3941
Er: 0.1858 0.1858 0.6059
Pd: 0.2754 0.2754 0.1406
Pd: 0.7246 0.7246 0.8594
Si: 0.6326 0.6326 0.0660
Si: 0.5202 0.5202 0.3860
Si: 0.4798 0.4798 0.6140
Si: 0.3674 0.3674 0.9340
Tm: 0.9980 0.9980 0.1761
Tm: 0.0020 0.0020 0.8239

SG	C2/m (12)
crystal system	monoclinic
total energy	-5.9421	eV/atom

6.
Below is an optimized crystal structure of RbYNiS3, with properties calculated at the PBE-GGA level.

Cell: 9.9800 3.9732 14.4687 Å, 90.00 90.00 90.00°
Atoms (fractional coordinates):
Ni: 0.1496 0.2500 0.1312
Ni: 0.6496 0.2500 0.3688
Ni: 0.3504 0.7500 0.6312
Ni: 0.8504 0.7500 0.8688
Rb: 0.4667 0.7500 0.1642
Rb: 0.9667 0.7500 0.3358
Rb: 0.0333 0.2500 0.6642
Rb: 0.5333 0.2500 0.8358
S: 0.3020 0.2500 0.0114
S: 0.0366 0.7500 0.1099
S: 0.7297 0.2500 0.2285
S: 0.2297 0.2500 0.2715
S: 0.5366 0.7500 0.3901
S: 0.8020 0.2500 0.4886
S: 0.1980 0.7500 0.5114
S: 0.4634 0.2500 0.6099
S: 0.7703 0.7500 0.7285
S: 0.2703 0.7500 0.7715
S: 0.9634 0.2500 0.8901
S: 0.6980 0.7500 0.9886
Y: 0.8422 0.2500 0.0632
Y: 0.3422 0.2500 0.4368
Y: 0.6578 0.7500 0.5632
Y: 0.1578 0.7500 0.9368

SG	Pnma (62)
energy above the most stable polymorph in this dataset	0.100	eV/atom
crystal system	orthorhombic

- What is the formula in the sixth record?
  RbYNiS3

Copy entry 1 word for word.
Below is an optimized crystal structure of LuSc3Zn4, with properties calculated at the PBE-GGA level.

Cell: 6.0938 6.0938 6.0938 Å, 106.01 106.01 116.65°
Atoms (fractional coordinates):
Lu: 0.0000 0.0000 0.0000
Sc: 0.5000 0.5000 0.0000
Sc: 0.7500 0.2500 0.5000
Sc: 0.2500 0.7500 0.5000
Zn: 0.8885 0.4007 0.0000
Zn: 0.4007 0.8885 0.0000
Zn: 0.5993 0.5993 0.4878
Zn: 0.1115 0.1115 0.5122

SG	I-42m (121)
crystal system	tetragonal
calculated formation energy	0.0674	eV per atom